[1]
DFT (GGA-PBEsol) results for a relaxed TiSiP2 crystal.

a b c (Å): 6.2569 6.2569 6.2569
angles (deg): 126.10 126.10 79.73
Positions (direct):
Ti 0.0000 0.0000 0.0000
Ti 0.7500 0.2500 0.5000
Si 0.2500 0.7500 0.5000
Si 0.5000 0.5000 0.0000
P 0.1525 0.1250 0.5275
P 0.3750 0.8475 0.9725
P 0.5975 0.6250 0.4725
P 0.8750 0.4025 0.0275

Calculated values
- formation energy (no corrections) (meV/atom) = -213
- VASP energy (Ry/atom) = -0.487
- space-group type = I-42d, No. 122
- crystal system = tetragonal

[2]
DFT (GGA-PBEsol) results for a relaxed TlSi2P crystal.

a b c (Å): 4.6821 4.6821 4.6821
angles (deg): 60.00 60.00 60.00
Positions (direct):
Tl 0.0000 0.0000 0.0000
Si 0.2500 0.2500 0.2500
Si 0.7500 0.7500 0.7500
P 0.5000 0.5000 0.5000

Calculated values
- formation energy (no corrections) (meV/atom) = 673
- VASP energy (Ry/atom) = -0.316
- space-group type = Fm-3m, No. 225
- crystal system = cubic

[3]
DFT (GGA-PBEsol) results for a relaxed Tl2SiP crystal.

a b c (Å): 3.9197 3.4667 7.2027
angles (deg): 90.00 105.32 90.00
Positions (direct):
Tl 0.0000 0.0000 0.0000
Tl 0.3253 0.5000 0.6580
Si 0.7193 0.0000 0.4386
P 0.6107 0.5000 0.2300

Calculated values
- formation energy (no corrections) (meV/atom) = 159
- VASP energy (Ry/atom) = -0.297
- space-group type = Pm, No. 6
- polymorph energy (0 for the lowest one) (kJ per mole of atoms) = 0.00
- crystal system = monoclinic

[4]
DFT (GGA-PBEsol) results for a relaxed TlSiP2 crystal.

a b c (Å): 8.6234 8.6234 8.6234
angles (deg): 21.74 21.74 21.74
Positions (direct):
Tl 0.0000 0.0000 0.0000
Si 0.2314 0.2314 0.2314
P 0.4968 0.4968 0.4968
P 0.7774 0.7774 0.7774

Calculated values
- formation energy (no corrections) (meV/atom) = 262
- VASP energy (Ry/atom) = -0.347
- space-group type = R3m, No. 160
- crystal system = trigonal

[5]
DFT (GGA-PBEsol) results for a relaxed Tl2SiP crystal.

a b c (Å): 7.3215 7.3215 7.3215
angles (deg): 130.83 130.83 72.09
Positions (direct):
Tl 0.1239 0.6250 0.9989
Tl 0.3750 0.3739 0.4989
Tl 0.6261 0.1250 0.0011
Tl 0.8750 0.8761 0.5011
Si 0.2500 0.7500 0.5000
Si 0.5000 0.5000 0.0000
P 0.0000 0.0000 0.0000
P 0.7500 0.2500 0.5000

Calculated values
- formation energy (no corrections) (meV/atom) = 464
- VASP energy (Ry/atom) = -0.275
- space-group type = I-42d, No. 122
- polymorph energy (0 for the lowest one) (kJ per mole of atoms) = 29.40
- crystal system = tetragonal

[6]
DFT (GGA-PBEsol) results for a relaxed YTl2SiP crystal.

a b c (Å): 4.9397 4.9397 5.5487
angles (deg): 90.00 90.00 90.00
Positions (direct):
Y 0.0000 0.0000 0.0000
Tl 0.0000 0.5000 0.5000
Tl 0.5000 0.0000 0.5000
Si 0.0000 0.0000 0.5000
P 0.5000 0.5000 0.0000

Calculated values
- formation energy (no corrections) (meV/atom) = 337
- VASP energy (Ry/atom) = -0.322
- space-group type = P4/mmm, No. 123
- crystal system = tetragonal

[7]
DFT (GGA-PBEsol) results for a relaxed SiP2W crystal.

a b c (Å): 4.6316 4.6316 4.6316
angles (deg): 138.83 122.95 72.74
Positions (direct):
Si 0.0000 0.0000 0.0000
P 0.2172 0.7172 0.5000
P 0.7828 0.2828 0.5000
W 0.5000 0.5000 0.0000

Calculated values
- formation energy (no corrections) (meV/atom) = 125
- VASP energy (Ry/atom) = -0.563
- space-group type = Immm, No. 71
- crystal system = orthorhombic

[8]
DFT (GGA-PBEsol) results for a relaxed SiPW crystal.

a b c (Å): 4.0422 4.0422 4.0422
angles (deg): 60.00 60.00 60.00
Positions (direct):
Si 0.0000 0.0000 0.0000
P 0.2500 0.2500 0.2500
W 0.7500 0.7500 0.7500

Calculated values
- formation energy (no corrections) (meV/atom) = 698
- VASP energy (Ry/atom) = -0.570
- space-group type = F-43m, No. 216
- crystal system = cubic

[9]
DFT (GGA-PBEsol) results for a relaxed SiPW2 crystal.

a b c (Å): 3.1333 3.1333 5.5996
angles (deg): 90.00 90.00 90.00
Positions (direct):
Si 0.0000 0.0000 0.0000
P 0.5000 0.5000 0.7429
W 0.0000 0.0000 0.5380
W 0.5000 0.5000 0.2093

Calculated values
- formation energy (no corrections) (meV/atom) = -359
- VASP energy (Ry/atom) = -0.746
- space-group type = P4mm, No. 99
- crystal system = tetragonal

[10]
DFT (GGA-PBEsol) results for a relaxed SiP3W crystal.

a b c (Å): 4.6513 4.6513 4.6513
angles (deg): 90.00 90.00 90.00
Positions (direct):
Si 0.0000 0.0000 0.0000
P 0.0000 0.5000 0.5000
P 0.5000 0.0000 0.5000
P 0.5000 0.5000 0.0000
W 0.5000 0.5000 0.5000

Calculated values
- formation energy (no corrections) (meV/atom) = 830
- VASP energy (Ry/atom) = -0.482
- space-group type = Pm-3m, No. 221
- crystal system = cubic

[11]
DFT (GGA-PBEsol) results for a relaxed Zn2SiP crystal.

a b c (Å): 3.1062 3.1062 7.0237
angles (deg): 90.00 90.00 90.00
Positions (direct):
Zn 0.0000 0.0000 0.0000
Zn 0.5000 0.5000 0.2012
Si 0.5000 0.5000 0.5417
P 0.0000 0.0000 0.6658

Calculated values
- formation energy (no corrections) (meV/atom) = 86
- VASP energy (Ry/atom) = -0.264
- space-group type = P4mm, No. 99
- crystal system = tetragonal

[12]
DFT (GGA-PBEsol) results for a relaxed Zn2SiP crystal.

a b c (Å): 6.0033 6.0033 6.0033
angles (deg): 147.71 147.28 46.63
Positions (direct):
Zn 0.1970 0.1970 0.0000
Zn 0.8030 0.8030 0.0000
Si 0.0000 0.5000 0.5000
P 0.5000 0.0000 0.5000

Calculated values
- formation energy (no corrections) (meV/atom) = 218
- VASP energy (Ry/atom) = -0.254
- space-group type = Immm, No. 71
- crystal system = orthorhombic

> Look up the VASP energy of the twelfth one.

-0.254 Ry/atom